1.
DFT (meta-GGA SCAN) results for a PBEsol-optimized structure of KNaLi2S2O8.

Cell: 4.926 7.732 18.908 Å, 90.00 90.00 90.00°
Atoms (fractional coordinates):
K (0.498, 0.947, 0.572)
K (0.998, 0.553, 0.428)
K (0.502, 0.447, 0.928)
K (0.002, 0.053, 0.072)
Na (0.017, 0.249, 0.276)
Na (0.983, 0.749, 0.224)
Na (0.483, 0.751, 0.776)
Na (0.517, 0.251, 0.724)
Li (0.008, 0.747, 0.911)
Li (0.508, 0.753, 0.089)
Li (0.992, 0.247, 0.589)
Li (0.492, 0.253, 0.411)
Li (0.037, 0.103, 0.862)
Li (0.537, 0.397, 0.138)
Li (0.963, 0.603, 0.638)
Li (0.463, 0.897, 0.362)
S (0.971, 0.469, 0.792)
S (0.529, 0.531, 0.292)
S (0.471, 0.031, 0.208)
S (0.029, 0.969, 0.708)
S (0.011, 0.547, 0.058)
S (0.511, 0.953, 0.942)
S (0.989, 0.047, 0.442)
S (0.489, 0.453, 0.558)
O (0.193, 0.464, 0.575)
O (0.693, 0.036, 0.425)
O (0.807, 0.964, 0.925)
O (0.307, 0.536, 0.075)
O (0.520, 0.434, 0.480)
O (0.020, 0.066, 0.520)
O (0.480, 0.934, 0.020)
O (0.980, 0.566, 0.980)
O (0.629, 0.613, 0.581)
O (0.129, 0.887, 0.419)
O (0.371, 0.113, 0.919)
O (0.871, 0.387, 0.081)
O (0.606, 0.301, 0.595)
O (0.106, 0.199, 0.405)
O (0.394, 0.801, 0.905)
O (0.894, 0.699, 0.095)
O (0.631, 0.377, 0.331)
O (0.131, 0.123, 0.669)
O (0.369, 0.877, 0.169)
O (0.869, 0.623, 0.831)
O (0.868, 0.310, 0.828)
O (0.368, 0.190, 0.172)
O (0.132, 0.810, 0.672)
O (0.632, 0.690, 0.328)
O (0.271, 0.469, 0.790)
O (0.771, 0.031, 0.210)
O (0.729, 0.969, 0.710)
O (0.229, 0.531, 0.290)
O (0.855, 0.473, 0.720)
O (0.355, 0.027, 0.280)
O (0.145, 0.973, 0.780)
O (0.645, 0.527, 0.220)

Summary:
DOS at the Fermi energy (states/eV per cell): 0.00
Formation energy without anion corrections (meV/atom): -2120
Spin magnetization (Bohr magnetons per cell): 0.01

***

2.
DFT (meta-GGA SCAN) results for a PBEsol-optimized structure of ZrTlSe2.

Cell: 3.700 3.700 8.271 Å, 90.00 90.00 120.00°
Atoms (fractional coordinates):
Tl (0.000, 0.000, 0.000)
Zr (0.000, 0.000, 0.500)
Se (0.667, 0.333, 0.699)
Se (0.333, 0.667, 0.301)

Summary:
DOS at the Fermi energy (states/eV per cell): 1.40
Formation energy without anion corrections (meV/atom): -1163
Spin magnetization (Bohr magnetons per cell): 0.00

***

3.
DFT (meta-GGA SCAN) results for a PBEsol-optimized structure of Ca2BeCuF.

Cell: 3.781 4.833 4.833 Å, 90.00 90.00 90.00°
Atoms (fractional coordinates):
Be (0.500, 0.000, 0.000)
Ca (0.000, 0.000, 0.500)
Ca (0.000, 0.500, 0.000)
Cu (0.500, 0.500, 0.500)
F (0.000, 0.000, 0.000)

Summary:
DOS at the Fermi energy (states/eV per cell): 2.07
Formation energy without anion corrections (meV/atom): -724
Spin magnetization (Bohr magnetons per cell): 0.00